An optimized crystal structure of Pr3NdSb, computed with PBE.

Computed properties:
**Crystal system**: monoclinic
**Fermi-level density of states**: 27.78 states/eV per cell
**E_form (uncorrected)**: -0.3681 eV per atom

abc: 8.463 9.260 10.194
angles: 90.00 121.00 90.00
Space group P2_1/c (No. 14)
Unique sites:
Pr1 0.090 0.109 0.261 x4
Pr2 0.245 0.060 0.656 x4
Pr3 0.398 0.691 0.964 x4
Nd1 0.300 0.059 0.044 x4
Sb1 0.109 0.721 0.591 x4

An optimized crystal structure of Er3Ag4Au2, computed with PBE.

Computed properties:
**Crystal system**: monoclinic
**Fermi-level density of states**: 20.91 states/eV per cell
**Calculated formation energy**: -0.421 eV/atom

abc: 13.889 10.783 5.266
angles: 90.00 100.89 90.00
Space group C2/c (No. 15)
Unique sites:
Er1 0.000 0.119 0.250 x4
Er2 0.169 0.372 0.075 x8
Ag1 0.057 0.378 0.518 x8
Ag2 0.223 0.125 0.372 x8
Au1 0.112 0.130 0.815 x8

An optimized crystal structure of Tb6TmMg5, computed with PBE.

Computed properties:
**Crystal system**: monoclinic
**Fermi-level density of states**: 14.20 states/eV per cell
**Calculated formation energy**: -0.038 eV/atom

abc: 5.390 7.670 8.581
angles: 90.00 108.30 90.00
Space group P2/m (No. 10)
Unique sites:
Tb1 0.000 0.240 0.000 x2
Tb2 0.333 0.248 0.661 x4
Tm1 0.500 0.500 0.000 x1
Mg1 0.160 0.500 0.325 x2
Mg2 0.164 0.000 0.335 x2
Mg3 0.500 0.000 0.000 x1

An optimized crystal structure of NaCu2C, computed with PBE.

Computed properties:
**Crystal system**: tetragonal
**Fermi-level density of states**: 8.84 states/eV per cell
**Calculated formation energy**: 0.561 eV/atom

abc: 4.871 4.871 11.526
angles: 90.00 90.00 90.00
Space group I4_1/amd (No. 141, origin choice 2)
Unique sites:
Na1 0.000 0.250 0.375 x4
Cu1 0.000 0.000 0.000 x8
C1 0.000 0.250 0.875 x4

An optimized crystal structure of Y2TiAl3, computed with PBE.

Computed properties:
**Crystal system**: trigonal
**Fermi-level density of states**: 10.63 states/eV per cell
**Calculated formation energy**: -0.449 eV/atom

abc: 5.6814 5.6814 13.5318
angles: 90.00 90.00 120.00
Space group R-3m (No. 166, hexagonal axes)
Unique sites:
Y1 0.0000 0.0000 0.1279 x6
Ti1 0.0000 0.0000 0.5000 x3
Al1 0.0000 0.5000 0.0000 x9

An optimized crystal structure of ErTm3Ga, computed with PBE.

Computed properties:
**Crystal system**: monoclinic
**Fermi-level density of states**: 31.14 states/eV per cell
**Calculated formation energy**: -0.064 eV/atom

abc: 11.662 8.777 7.597
angles: 90.00 130.03 90.00
Space group C2/m (No. 12)
Unique sites:
Er1 0.068 0.000 0.271 x4
Tm1 0.054 0.500 0.329 x4
Tm2 0.217 0.192 0.752 x8
Ga1 0.245 0.000 0.114 x4

An optimized crystal structure of Cs2NbPbBr6, computed with PBE.

Computed properties:
**Crystal system**: cubic
**Fermi-level density of states**: 0.00 states/eV per cell
**E_form (uncorrected)**: -1.1197 eV per atom

abc: 11.476 11.476 11.476
angles: 90.00 90.00 90.00
Space group Fm-3m (No. 225)
Unique sites:
Cs1 0.250 0.250 0.250 x8
Nb1 0.000 0.000 0.000 x4
Pb1 0.000 0.000 0.500 x4
Br1 0.000 0.000 0.238 x24

An optimized crystal structure of Cs2LiPtBr6, computed with PBE.

Computed properties:
**Crystal system**: trigonal
**Fermi-level density of states**: 26.20 states/eV per cell
**E_form (uncorrected)**: -1.1070 eV per atom
**Energy relative to the lowest polymorph listed for this composition**: 0 meV per atom

abc: 7.6734 7.6734 38.8339
angles: 90.00 90.00 120.00
Space group R-3m (No. 166, hexagonal axes)
Unique sites:
Cs1 0.0000 0.0000 0.1227 x6
Cs2 0.0000 0.0000 0.2950 x6
Li1 0.0000 0.0000 0.4207 x6
Pt1 0.0000 0.0000 0.0000 x3
Pt2 0.0000 0.0000 0.5000 x3
Br1 0.0143 0.5071 0.7050 x18
Br2 0.0160 0.5080 0.1274 x18

An optimized crystal structure of HfNbZn, computed with PBE.

Computed properties:
**Crystal system**: orthorhombic
**Fermi-level density of states**: 11.63 states/eV per cell
**Calculated formation energy**: -0.074 eV/atom
**Energy relative to the lowest polymorph listed for this composition**: 0 meV per atom

abc: 3.618 4.512 13.375
angles: 90.00 90.00 90.00
Space group Amm2 (No. 38)
Unique sites:
Hf1 0.000 0.000 0.000 x2
Hf2 0.000 0.000 0.331 x2
Nb1 0.000 0.000 0.662 x2
Nb2 0.500 0.000 0.822 x2
Zn1 0.500 0.000 0.168 x2
Zn2 0.500 0.000 0.496 x2

An optimized crystal structure of Pm4OsSeCl2, computed with PBE.

Computed properties:
**Crystal system**: monoclinic
**Fermi-level density of states**: 5.88 states/eV per cell
**E_form (uncorrected)**: -1.2036 eV per atom

abc: 7.427 4.075 7.540
angles: 90.00 107.63 90.00
Space group P2/m (No. 10)
Unique sites:
Pm1 0.212 0.000 0.217 x2
Pm2 0.219 0.500 0.762 x2
Os1 0.000 0.500 0.000 x1
Se1 0.000 0.000 0.500 x1
Cl1 0.500 0.000 0.000 x1
Cl2 0.500 0.500 0.500 x1

An optimized crystal structure of TaAl4Ni, computed with PBE.

Computed properties:
**Crystal system**: cubic
**Fermi-level density of states**: 21.74 states/eV per cell
**Calculated formation energy**: 0.107 eV/atom

abc: 7.179 7.179 7.179
angles: 90.00 90.00 90.00
Space group F-43m (No. 216)
Unique sites:
Ta1 0.000 0.000 0.000 x4
Al1 0.125 0.125 0.625 x16
Ni1 0.250 0.250 0.250 x4

An optimized crystal structure of CeNd4Er3Se8, computed with PBE.

Computed properties:
**Crystal system**: trigonal
**Fermi-level density of states**: 35.96 states/eV per cell
**E_form (uncorrected)**: -1.7865 eV per atom

abc: 8.2628 8.2628 20.5968
angles: 90.00 90.00 120.00
Space group R-3m (No. 166, hexagonal axes)
Unique sites:
Ce1 0.0000 0.0000 0.0000 x3
Nd1 0.0000 0.0000 0.5000 x3
Nd2 0.0000 0.5000 0.5000 x9
Er1 0.0000 0.5000 0.0000 x9
Se1 0.0000 0.0000 0.2561 x6
Se2 0.0061 0.5031 0.2546 x18

An optimized crystal structure of LaBe2Cr, computed with PBE.

Computed properties:
**Crystal system**: monoclinic
**Fermi-level density of states**: 2.71 states/eV per cell
**Calculated formation energy**: 0.347 eV/atom
**Energy relative to the lowest polymorph listed for this composition**: 149 meV per atom

abc: 3.098 3.719 6.038
angles: 90.00 104.78 90.00
Space group Pm (No. 6)
Unique sites:
La1 0.000 0.000 0.000 x1
Be1 0.648 0.500 0.299 x1
Be2 0.738 0.000 0.481 x1
Cr1 0.293 0.500 0.590 x1

An optimized crystal structure of NpCoTe, computed with PBE.

Computed properties:
**Crystal system**: cubic
**Fermi-level density of states**: 27.18 states/eV per cell
**E_form (uncorrected)**: -0.2395 eV per atom
**Energy relative to the lowest polymorph listed for this composition**: 0 meV per atom

abc: 6.329 6.329 6.329
angles: 90.00 90.00 90.00
Space group F-43m (No. 216)
Unique sites:
Np1 0.000 0.000 0.000 x4
Co1 0.250 0.250 0.250 x4
Te1 0.000 0.000 0.500 x4

An optimized crystal structure of Ni2BBr, computed with PBE.

Computed properties:
**Crystal system**: tetragonal
**Fermi-level density of states**: 1.08 states/eV per cell
**E_form (uncorrected)**: 0.3447 eV per atom
**Energy relative to the lowest polymorph listed for this composition**: 0 meV per atom

abc: 4.712 4.712 10.862
angles: 90.00 90.00 90.00
Space group I-42d (No. 122)
Unique sites:
Ni1 0.153 0.250 0.125 x8
B1 0.000 0.000 0.000 x4
Br1 0.000 0.000 0.500 x4

An optimized crystal structure of Cu2PtI6, computed with PBE.

Computed properties:
**Crystal system**: monoclinic
**Fermi-level density of states**: 32.43 states/eV per cell
**E_form (uncorrected)**: -0.0682 eV per atom
**Energy relative to the lowest polymorph listed for this composition**: 49 meV per atom

abc: 16.217 12.455 7.405
angles: 90.00 114.39 90.00
Space group C2/c (No. 15)
Unique sites:
Cu1 0.246 0.100 0.377 x8
Pt1 0.000 0.184 0.250 x4
I1 0.104 0.167 0.059 x8
I2 0.150 0.188 0.569 x8
I3 0.165 0.471 0.830 x8

An optimized crystal structure of HfS, computed with PBE.

Computed properties:
**Crystal system**: orthorhombic
**Fermi-level density of states**: 3.94 states/eV per cell
**E_form (uncorrected)**: -1.0182 eV per atom

abc: 3.608 11.586 6.547
angles: 90.00 90.00 90.00
Space group Amm2 (No. 38)
Unique sites:
Hf1 0.000 0.000 0.000 x2
Hf2 0.500 0.200 0.867 x4
S1 0.000 0.202 0.144 x4
S2 0.500 0.000 0.723 x2

An optimized crystal structure of Pr2GdIn, computed with PBE.

Computed properties:
**Crystal system**: trigonal
**Fermi-level density of states**: 19.93 states/eV per cell
**Calculated formation energy**: 0.046 eV/atom
**Energy relative to the lowest polymorph listed for this composition**: 332 meV per atom

abc: 3.5507 3.5507 36.5428
angles: 90.00 90.00 120.00
Space group R-3m (No. 166, hexagonal axes)
Unique sites:
Pr1 0.0000 0.0000 0.0935 x6
Gd1 0.0000 0.0000 0.0000 x3
In1 0.0000 0.0000 0.5000 x3

An optimized crystal structure of Hf6SbTe, computed with PBE.

Computed properties:
**Crystal system**: triclinic
**Fermi-level density of states**: 9.62 states/eV per cell
**E_form (uncorrected)**: -0.2097 eV per atom

abc: 5.572 5.574 5.574
angles: 88.94 88.82 89.09
Space group P-1 (No. 2)
Unique sites:
Hf1 0.003 0.251 0.496 x2
Hf2 0.251 0.498 0.004 x2
Hf3 0.496 0.005 0.251 x2
Sb1 0.500 0.500 0.500 x1
Te1 0.000 0.000 0.000 x1

An optimized crystal structure of In2AgPt, computed with PBE.

Computed properties:
**Crystal system**: tetragonal
**Fermi-level density of states**: 0.95 states/eV per cell
**Calculated formation energy**: -0.158 eV/atom
**Energy relative to the lowest polymorph listed for this composition**: 49 meV per atom

abc: 4.590 4.590 3.653
angles: 90.00 90.00 90.00
Space group P4/mmm (No. 123)
Unique sites:
In1 0.000 0.500 0.000 x2
Ag1 0.000 0.000 0.500 x1
Pt1 0.500 0.500 0.500 x1